# WF | Alexandria | GGA+U | relaxed
data_WF
_chemical_formula_sum 'W8 F8'
_cell_length_a 7.242
_cell_length_b 5.058
_cell_length_c 6.740
_cell_angle_alpha 90.00
_cell_angle_beta 90.00
_cell_angle_gamma 90.00
_symmetry_space_group_name_H-M 'P 1'
_symmetry_Int_Tables_number 1
_symmetry_space_group_name_Hall 'P 1'
loop_
_atom_site_label
_atom_site_fract_x
_atom_site_fract_y
_atom_site_fract_z
_atom_site_occupancy
W1 0.810 0.750 0.186 1
W2 0.190 0.250 0.814 1
W3 0.310 0.750 0.314 1
W4 0.972 0.750 0.572 1
W5 0.472 0.750 0.928 1
W6 0.690 0.250 0.686 1
W7 0.528 0.250 0.072 1
W8 0.028 0.250 0.428 1
F1 0.344 0.750 0.647 1
F2 0.844 0.750 0.853 1
F3 0.591 0.750 0.409 1
F4 0.091 0.750 0.091 1
F5 0.409 0.250 0.591 1
F6 0.156 0.250 0.147 1
F7 0.656 0.250 0.353 1
F8 0.909 0.250 0.909 1
# energy above the lowest structure with this stoichiometry = 581.6 meV per atom
# M_tot = 1.5 μB/f.u.